# HgRh2Br

A relaxed structure of HgRh2Br (PBE, the Alexandria database).

Space-group type = Pmmm (47)
Formation energy without anion corrections = 208 kJ/mol of formula units
Calculated total energy = -3.629 eV/atom

Cell and atoms, written as POSCAR:
```
HgRh2Br
1.0
3.039 0.000 0.000
0.000 5.332 0.000
0.000 0.000 4.532
Hg Rh Br
1 2 1
Cartesian
0.000 2.666 2.266
1.520 2.666 0.000
0.000 0.000 0.000
1.520 0.000 2.266
```

=====

# Hg2RhBr

A relaxed structure of Hg2RhBr (PBE, the Alexandria database).

Space-group type = R-3m (166)
Formation energy without anion corrections = 58 kJ/mol of formula units
Calculated total energy = -2.256 eV/atom

Cell and atoms, written as POSCAR:
```
Hg2RhBr
1.0
-5.000 -2.284 5.965
-6.538 -3.814 2.917
-3.697 -5.531 4.641
Hg Rh Br
2 1 1
Cartesian
-7.778 -5.937 6.905
-15.073 -11.506 13.380
-3.809 -2.907 3.381
-11.426 -8.721 10.142
```

=====

# Hg3RhBr

A relaxed structure of Hg3RhBr (PBE, the Alexandria database).

Space-group type = Pm-3m (221)
Formation energy without anion corrections = 556 kJ/mol of formula units
Calculated total energy = -0.832 eV/atom

Cell and atoms, written as POSCAR:
```
Hg3RhBr
1.0
-4.725 -1.374 -3.036
1.315 -5.609 0.492
-3.062 -0.288 4.896
Hg Br Rh
3 1 1
Cartesian
-2.362 -0.687 -1.518
0.657 -2.804 0.246
-1.531 -0.144 2.448
0.000 0.000 0.000
-3.236 -3.635 1.176
```

=====

# HgRhBr2

A relaxed structure of HgRhBr2 (PBE, the Alexandria database).

Space-group type = Pmmm (47)
Formation energy without anion corrections = 157 kJ/mol of formula units
Calculated total energy = -2.343 eV/atom

Cell and atoms, written as POSCAR:
```
HgRhBr2
1.0
-2.592 -0.542 -2.709
3.681 -4.762 -2.569
-1.876 -2.711 2.337
Hg Rh Br
1 1 2
Cartesian
-2.234 -1.627 -0.186
0.903 -3.736 -0.116
0.545 -2.652 -2.639
0.000 0.000 0.000
```